[1]
Compound: BSF
Source: the Alexandria database
Functional: PBE-GGA
Structure: optimized geometry

Output
- Theoretical density: 2.3 g cm⁻³
- Formation energy without anion corrections: -0.638 eV per atom
- Calculated total energy: -4.863 eV/atom
- Energy above the lowest structure with this stoichiometry: 0.803 eV per atom

abc: 5.901 5.901 5.646
angles: 101.78 101.78 27.50
Positions (direct):
B1 0.236 0.236 0.165
B2 0.764 0.764 0.835
S1 0.147 0.147 0.835
S2 0.853 0.853 0.165
F1 0.342 0.342 0.704
F2 0.658 0.658 0.296

---

[2]
Compound: AlHgTe2I
Source: the Alexandria database
Functional: PBE-GGA
Structure: optimized geometry

Output
- Theoretical density: 6.2 g cm⁻³
- Formation energy without anion corrections: 0.112 eV per atom
- Calculated total energy: -2.263 eV/atom
- Energy above the lowest structure with this stoichiometry: 0.000 eV per atom

abc: 5.431 5.431 5.557
angles: 90.00 90.00 90.00
Positions (direct):
Al1 0.000 0.000 0.000
Hg1 0.500 0.500 0.500
Te1 0.000 0.500 0.000
Te2 0.500 0.000 0.000
I1 0.000 0.000 0.500

---

[3]
Compound: Pm2B3Rh6
Source: the Alexandria database
Functional: PBE-GGA
Structure: optimized geometry

Output
- E_form: -0.37 eV/atom
- Theoretical density: 9.5 g cm⁻³
- Calculated total energy: -7.066 eV/atom

abc: 7.254 7.254 3.623
angles: 90.00 90.00 120.00
Positions (direct):
Pm1 0.333 0.667 0.000
Pm2 0.667 0.333 0.000
B1 0.000 0.627 0.500
B2 0.373 0.373 0.500
B3 0.627 0.000 0.500
Rh1 0.000 0.324 0.500
Rh2 0.000 0.778 0.000
Rh3 0.222 0.222 0.000
Rh4 0.324 0.000 0.500
Rh5 0.676 0.676 0.500
Rh6 0.778 0.000 0.000

---

[4]
Compound: Pr2SiPt3
Source: the Alexandria database
Functional: PBE-GGA
Structure: optimized geometry

Output
- Theoretical density: 11.2 g cm⁻³
- Formation energy without anion corrections: -1.070 eV per atom
- Calculated total energy: -6.588 eV/atom

abc: 8.729 8.577 5.936
angles: 71.32 68.57 40.11
Positions (direct):
Pr1 0.242 0.758 0.758
Pr2 0.250 0.250 0.250
Pr3 0.750 0.750 0.750
Pr4 0.758 0.242 0.242
Si1 0.334 0.334 0.666
Si2 0.666 0.666 0.334
Pt1 0.177 0.177 0.823
Pt2 0.177 0.647 0.353
Pt3 0.353 0.823 0.177
Pt4 0.647 0.177 0.823
Pt5 0.823 0.353 0.647
Pt6 0.823 0.823 0.177

---

[5]
Compound: Nd2UTl3S6
Source: the Alexandria database
Functional: PBE-GGA
Structure: optimized geometry

Output
- Theoretical density: 6.6 g cm⁻³
- Formation energy without anion corrections: -1.289 eV per atom
- Calculated total energy: -5.680 eV/atom

abc: 7.166 7.166 7.897
angles: 98.71 98.71 119.96
Positions (direct):
Nd1 0.167 0.833 0.000
Nd2 0.833 0.167 0.000
U1 0.500 0.500 0.000
Tl1 0.000 0.000 0.500
Tl2 0.332 0.668 0.500
Tl3 0.668 0.332 0.500
S1 0.110 0.433 0.799
S2 0.245 0.245 0.203
S3 0.433 0.110 0.799
S4 0.567 0.890 0.201
S5 0.755 0.755 0.797
S6 0.890 0.567 0.201

---

[6]
Compound: CaPaZnHg
Source: the Alexandria database
Functional: PBE-GGA
Structure: optimized geometry

Output
- E_form: 0.02 eV/atom
- Theoretical density: 8.9 g cm⁻³
- Calculated total energy: -3.244 eV/atom

abc: 5.206 5.206 5.206
angles: 60.00 60.00 60.00
Positions (direct):
Ca1 0.000 0.000 0.000
Pa1 0.500 0.500 0.500
Zn1 0.250 0.250 0.250
Hg1 0.750 0.750 0.750

---

- Which of these has the highest theoretical density?
  Pr2SiPt3